BaMg2GaRh | the Alexandria database | GGA-PBE | optimized geometry; V = 25.474 Å³/atom; crystal system = tetragonal; total energy = -3.51 eV per atom; energy of formation = -0.407 eV per atom
1.0
5.093 0.000 0.000
0.000 5.093 0.000
0.000 0.000 4.911
Ba Mg Ga Rh
1 2 1 1
Cartesian
0.000 0.000 0.000
0.000 2.546 2.455
2.546 0.000 2.455
2.546 2.546 0.000
2.546 2.546 2.455

RbSc2HgB | the Alexandria database | GGA-PBE | optimized geometry; V = 37.301 Å³/atom; crystal system = tetragonal; total energy = -2.72 eV per atom; energy of formation = 1.405 eV per atom
1.0
5.366 0.000 0.000
0.000 5.366 0.000
0.000 0.000 6.478
Rb Sc Hg B
1 2 1 1
Cartesian
0.000 0.000 0.000
0.000 2.683 3.239
2.683 0.000 3.239
0.000 0.000 3.239
2.683 2.683 0.000

RbYTc2Pb | the Alexandria database | GGA-PBE | optimized geometry; V = 27.099 Å³/atom; crystal system = tetragonal; total energy = -4.11 eV per atom; energy of formation = 2.264 eV per atom
1.0
4.938 0.000 0.000
0.000 4.938 0.000
0.000 0.000 5.556
Rb Y Tc Pb
1 1 2 1
Cartesian
0.000 0.000 0.000
2.469 2.469 2.778
0.000 2.469 0.000
2.469 0.000 0.000
0.000 0.000 2.778

ZnInCl3 | the Alexandria database | GGA-PBE | optimized geometry; V = 28.394 Å³/atom; crystal system = trigonal; total energy = -2.86 eV per atom; energy relative to the elements, uncorrected = -0.949 eV/atom; distance to the lowest polymorph of the same formula = 0.0763 eV/atom
1.0
3.260 1.882 7.714
-3.260 1.882 7.714
0.000 -3.764 7.714
Zn In Cl
2 2 6
Cartesian
0.000 0.000 3.849
0.000 0.000 19.295
0.000 0.000 8.533
0.000 0.000 14.611
-2.430 -0.002 10.159
-1.213 -2.105 12.984
1.217 -2.103 10.159
-1.217 2.103 12.984
1.213 2.105 10.159
2.430 0.002 12.984